1.
A plane-wave DFT calculation with PBE was carried out for an optimized crystal structure of LaSc2Se.

Values from the calculation:
ρ = 4.96 Mg/m³
total energy = -5.832 eV/atom
N(E_F) = 3.922 states/eV per cell

Cell: 3.8032 4.7848 5.8395 Å, 90.00 104.01 90.00°
With the nearest neighbours (Å) after each atom.
Space group P2/m (No. 10)
Symmetry-distinct sites (fractional):
La: 0.0000 0.0000 0.0000 (multiplicity 1)  2 Se 3.07, 4 Sc 3.40
Sc: 0.3710 0.5000 0.7183 (multiplicity 2)  2 Se 2.81, 1 Sc 2.95
Se: 0.5000 0.0000 0.5000 (multiplicity 1)  4 Sc 2.81, 2 La 3.07

---

2.
A plane-wave DFT calculation with PBE was carried out for an optimized crystal structure of Li3ZnC.

Values from the calculation:
excess energy over the best structure of this formula in the dataset = 0.0 meV per atom
formation enthalpy at 0 K = 0.41 eV/atom
ρ = 2.43 Mg/m³
N(E_F) = 1.465 states/eV per cell

Cell: 4.0656 4.0656 4.0656 Å, 90.00 90.00 90.00°
With the nearest neighbours (Å) after each atom.
Space group Pm-3m (No. 221)
Symmetry-distinct sites (fractional):
Li: 0.0000 0.0000 0.5000 (multiplicity 3)  2 C 2.03
Zn: 0.5000 0.5000 0.5000 (multiplicity 1)  12 Li 2.87
C: 0.0000 0.0000 0.0000 (multiplicity 1)  6 Li 2.03